Entry from the Alexandria database: a geometry-optimized Al4NiSe structure (GGA-PBE).

Cell: 7.4211 7.4211 7.4211 Å, 90.00 90.00 90.00°
With the nearest neighbours (Å) after each atom.
Space group F-43m (No. 216)
Asymmetric unit:
Al 0.1238 0.1238 0.1238 x16  6 Al 2.60-2.65
Ni 0.2500 0.2500 0.7500 x4  12 Al 3.07, 4 Se 3.21
Se 0.0000 0.0000 0.5000 x4  12 Al 3.08, 4 Ni 3.21

Its formation energy without anion corrections is 0.32 eV/atom.